(1)
First-principles (PBE-GGA) data for Na5Cd2In after structural relaxation, as listed in Alexandria.

The structure in CIF format:
```
data_Na5Cd2In
_cell_length_a 3.2278
_cell_length_b 16.4586
_cell_length_c 18.6688
_cell_angle_alpha 90.00
_cell_angle_beta 90.00
_cell_angle_gamma 90.00
_symmetry_space_group_name_H-M 'C m c m'
_symmetry_Int_Tables_number 63
_symmetry_space_group_name_Hall '-C 2c 2'
loop_
_atom_site_label
_atom_site_fract_x
_atom_site_fract_y
_atom_site_fract_z
_atom_site_occupancy
Na1 0.0000 0.0396 0.1479 1
Na2 0.0000 0.1387 0.7500 1
Na3 0.0000 0.2532 0.0884 1
Cd1 0.0000 0.0900 0.5212 1
In1 0.0000 0.1901 0.2500 1
```

## Properties
DFT formation energy ... 0.020 eV/atom
Offset from the most stable computed form ... 0.69 eV per formula unit
D(E_F) ... 11.0 states/eV/cell

---

(2)
First-principles (PBE-GGA) data for CrMoH4 after structural relaxation, as listed in Alexandria.

The structure in CIF format:
```
data_CrMoH4
_cell_length_a 3.0173
_cell_length_b 3.0173
_cell_length_c 4.2899
_cell_angle_alpha 90.00
_cell_angle_beta 90.00
_cell_angle_gamma 90.00
_symmetry_space_group_name_H-M 'P 4/m m m'
_symmetry_Int_Tables_number 123
_symmetry_space_group_name_Hall '-P 4 2'
loop_
_atom_site_label
_atom_site_fract_x
_atom_site_fract_y
_atom_site_fract_z
_atom_site_occupancy
Cr1 0.0000 0.0000 0.0000 1
Mo1 0.5000 0.5000 0.5000 1
H1 0.0000 0.5000 0.2300 1
```

## Properties
Total DFT energy (no corrections) ... -5.595 eV/atom
D(E_F) ... 2.0 states/eV/cell

---

(3)
First-principles (PBE-GGA) data for Mg2TaZn after structural relaxation, as listed in Alexandria.

The structure in CIF format:
```
data_Mg2TaZn
_cell_length_a 2.9253
_cell_length_b 4.1971
_cell_length_c 6.0431
_cell_angle_alpha 90.00
_cell_angle_beta 90.00
_cell_angle_gamma 90.00
_symmetry_space_group_name_H-M 'P m m 2'
_symmetry_Int_Tables_number 25
_symmetry_space_group_name_Hall 'P 2 -2'
loop_
_atom_site_label
_atom_site_fract_x
_atom_site_fract_y
_atom_site_fract_z
_atom_site_occupancy
Mg1 0.0000 0.0000 0.0000 1
Mg2 0.5000 0.5000 0.2662 1
Ta1 0.0000 0.0000 0.5175 1
Zn1 0.5000 0.5000 0.7299 1
```

## Properties
DFT formation energy ... 0.223 eV/atom
D(E_F) ... 3.1 states/eV/cell

---

(4)
First-principles (PBE-GGA) data for NaTiO2F after structural relaxation, as listed in Alexandria.

The structure in CIF format:
```
data_NaTiO2F
_cell_length_a 3.8371
_cell_length_b 3.8371
_cell_length_c 4.0494
_cell_angle_alpha 90.00
_cell_angle_beta 90.00
_cell_angle_gamma 90.00
_symmetry_space_group_name_H-M 'P 4/m m m'
_symmetry_Int_Tables_number 123
_symmetry_space_group_name_Hall '-P 4 2'
loop_
_atom_site_label
_atom_site_fract_x
_atom_site_fract_y
_atom_site_fract_z
_atom_site_occupancy
Na1 0.0000 0.0000 0.0000 1
Ti1 0.5000 0.5000 0.5000 1
O1 0.0000 0.5000 0.5000 1
F1 0.5000 0.5000 0.0000 1
```

## Properties
Total DFT energy (no corrections) ... -6.956 eV/atom

---

(5)
First-principles (PBE-GGA) data for Zn3Ir4 after structural relaxation, as listed in Alexandria.

The structure in CIF format:
```
data_Zn3Ir4
_cell_length_a 4.7106
_cell_length_b 4.7106
_cell_length_c 5.2077
_cell_angle_alpha 90.00
_cell_angle_beta 90.00
_cell_angle_gamma 120.00
_symmetry_space_group_name_H-M 'P 6/m m m'
_symmetry_Int_Tables_number 191
_symmetry_space_group_name_Hall '-P 6 2'
loop_
_atom_site_label
_atom_site_fract_x
_atom_site_fract_y
_atom_site_fract_z
_atom_site_occupancy
Zn1 0.0000 0.5000 0.0000 1
Ir1 0.0000 0.0000 0.2641 1
Ir2 0.3333 0.6667 0.5000 1
```

## Properties
DFT formation energy ... 0.243 eV/atom
Offset from the most stable computed form ... 2.03 eV per formula unit
D(E_F) ... 8.9 states/eV/cell

---

(6)
First-principles (PBE-GGA) data for GdThHg2 after structural relaxation, as listed in Alexandria.

The structure in CIF format:
```
data_GdThHg2
_cell_length_a 7.6033
_cell_length_b 7.6033
_cell_length_c 7.6033
_cell_angle_alpha 90.00
_cell_angle_beta 90.00
_cell_angle_gamma 90.00
_symmetry_space_group_name_H-M 'F m -3 m'
_symmetry_Int_Tables_number 225
_symmetry_space_group_name_Hall '-F 4 2 3'
loop_
_atom_site_label
_atom_site_fract_x
_atom_site_fract_y
_atom_site_fract_z
_atom_site_occupancy
Gd1 0.0000 0.0000 0.0000 1
Th1 0.0000 0.0000 0.5000 1
Hg1 0.2500 0.2500 0.2500 1
```

## Properties
DFT formation energy ... -0.338 eV/atom
Offset from the most stable computed form ... 0.05 eV per formula unit
D(E_F) ... 15.2 states/eV/cell

---

(7)
First-principles (PBE-GGA) data for Ba2NaLi3Sb4 after structural relaxation, as listed in Alexandria.

The structure in CIF format:
```
data_Ba2NaLi3Sb4
_cell_length_a 4.7528
_cell_length_b 4.7528
_cell_length_c 12.6053
_cell_angle_alpha 90.00
_cell_angle_beta 90.00
_cell_angle_gamma 90.00
_symmetry_space_group_name_H-M 'P -4 m 2'
_symmetry_Int_Tables_number 115
_symmetry_space_group_name_Hall 'P -4 -2'
loop_
_atom_site_label
_atom_site_fract_x
_atom_site_fract_y
_atom_site_fract_z
_atom_site_occupancy
Ba1 0.0000 0.5000 0.2422 1
Na1 0.0000 0.0000 0.5000 1
Li1 0.0000 0.5000 0.8678 1
Li2 0.5000 0.5000 0.5000 1
Sb1 0.0000 0.0000 0.0000 1
Sb2 0.0000 0.5000 0.6520 1
Sb3 0.5000 0.5000 0.0000 1
```

## Properties
Total DFT energy (no corrections) ... -3.462 eV/atom
D(E_F) ... 7.2 states/eV/cell

---

(8)
First-principles (PBE-GGA) data for K3Rb4Hg2 after structural relaxation, as listed in Alexandria.

The structure in CIF format:
```
data_K3Rb4Hg2
_cell_length_a 21.4290
_cell_length_b 5.2637
_cell_length_c 10.9462
_cell_angle_alpha 90.00
_cell_angle_beta 113.51
_cell_angle_gamma 90.00
_symmetry_space_group_name_H-M 'C 1 2/m 1'
_symmetry_Int_Tables_number 12
_symmetry_space_group_name_Hall '-C 2y'
loop_
_atom_site_label
_atom_site_fract_x
_atom_site_fract_y
_atom_site_fract_z
_atom_site_occupancy
K1 0.0000 0.0000 0.0000 1
K2 0.0826 0.0000 0.6982 1
Rb1 0.1129 0.5000 0.3499 1
Rb2 0.2324 0.0000 0.1545 1
Hg1 0.1056 0.5000 0.9453 1
```

## Properties
DFT formation energy ... -0.103 eV/atom
D(E_F) ... 12.3 states/eV/cell

---

(9)
First-principles (PBE-GGA) data for ZnH2Rh after structural relaxation, as listed in Alexandria.

The structure in CIF format:
```
data_ZnH2Rh
_cell_length_a 5.1748
_cell_length_b 5.1748
_cell_length_c 5.1748
_cell_angle_alpha 90.00
_cell_angle_beta 90.00
_cell_angle_gamma 90.00
_symmetry_space_group_name_H-M 'F m -3 m'
_symmetry_Int_Tables_number 225
_symmetry_space_group_name_Hall '-F 4 2 3'
loop_
_atom_site_label
_atom_site_fract_x
_atom_site_fract_y
_atom_site_fract_z
_atom_site_occupancy
Zn1 0.0000 0.0000 0.0000 1
H1 0.2500 0.2500 0.2500 1
Rh1 0.0000 0.0000 0.5000 1
```

## Properties
Total DFT energy (no corrections) ... -3.479 eV/atom
D(E_F) ... 4.0 states/eV/cell

---

(10)
First-principles (PBE-GGA) data for SrCdPt after structural relaxation, as listed in Alexandria.

The structure in CIF format:
```
data_SrCdPt
_cell_length_a 7.6505
_cell_length_b 4.4543
_cell_length_c 13.1290
_cell_angle_alpha 90.00
_cell_angle_beta 90.22
_cell_angle_gamma 90.00
_symmetry_space_group_name_H-M 'P 1 21/m 1'
_symmetry_Int_Tables_number 11
_symmetry_space_group_name_Hall '-P 2yb'
loop_
_atom_site_label
_atom_site_fract_x
_atom_site_fract_y
_atom_site_fract_z
_atom_site_occupancy
Sr1 0.0308 0.2500 0.1219 1
Sr2 0.1533 0.2500 0.4195 1
Sr3 0.4674 0.7500 0.7894 1
Cd1 0.1370 0.2500 0.7053 1
Cd2 0.3561 0.7500 0.0430 1
Cd3 0.4948 0.7500 0.4132 1
Pt1 0.2365 0.7500 0.2521 1
Pt2 0.2655 0.2500 0.9176 1
Pt3 0.2653 0.7500 0.5870 1
```

## Properties
DFT formation energy ... -0.687 eV/atom
D(E_F) ... 5.3 states/eV/cell

---

(11)
First-principles (PBE-GGA) data for Cu2AsPt after structural relaxation, as listed in Alexandria.

The structure in CIF format:
```
data_Cu2AsPt
_cell_length_a 2.9641
_cell_length_b 3.6986
_cell_length_c 5.2200
_cell_angle_alpha 90.00
_cell_angle_beta 90.12
_cell_angle_gamma 90.00
_symmetry_space_group_name_H-M 'P 1 2/m 1'
_symmetry_Int_Tables_number 10
_symmetry_space_group_name_Hall '-P 2y'
loop_
_atom_site_label
_atom_site_fract_x
_atom_site_fract_y
_atom_site_fract_z
_atom_site_occupancy
Cu1 0.0010 0.0000 0.2498 1
As1 0.5000 0.5000 0.0000 1
Pt1 0.5000 0.5000 0.5000 1
```

## Properties
DFT formation energy ... -0.038 eV/atom
D(E_F) ... 1.7 states/eV/cell